1.
Ge2P2Cl after structural relaxation. Source: Alexandria, functional GGA-PBE.

a b c (Å): 6.9468 6.9400 6.8586
angles (deg): 68.42 56.13 55.57
Fractional coordinates of all 10 atoms:
Ge 0.4225 0.4436 0.3180
Ge 0.7553 0.9569 0.7531
Ge 0.2447 0.0431 0.2469
Ge 0.5775 0.5564 0.6820
P 0.5056 0.7556 0.9737
P 0.7789 0.2411 0.4265
P 0.4944 0.2444 0.0263
P 0.2211 0.7589 0.5735
Cl 0.8257 0.7341 0.3473
Cl 0.1743 0.2659 0.6527

DOS at the Fermi energy, states/eV per atom: 0.28
Raw formation energy, eV per formula unit: -0.111
E above lowest polymorph, eV/atom: 0.000

=====

2.
Ge3PCl after structural relaxation. Source: Alexandria, functional GGA-PBE.

a b c (Å): 4.9643 4.9643 4.9643
angles (deg): 90.00 90.00 90.00
Fractional coordinates of all 5 atoms:
P 0.0000 0.0000 0.0000
Ge 0.0000 0.5000 0.0000
Ge 0.0000 0.0000 0.5000
Ge 0.5000 0.0000 0.0000
Cl 0.5000 0.5000 0.5000

DOS at the Fermi energy, states/eV per atom: 0.93
Raw formation energy, eV per formula unit: 2.765
E above lowest polymorph, eV/atom: 0.000

=====

3.
Ge2PCl after structural relaxation. Source: Alexandria, functional GGA-PBE.

a b c (Å): 7.0874 7.0874 6.2647
angles (deg): 55.55 55.55 90.00
Fractional coordinates of all 8 atoms:
P 0.5000 0.5000 0.0000
P 0.2500 0.7500 0.5000
Ge 0.5810 0.1250 0.2500
Ge 0.1690 0.6250 0.2500
Ge 0.3750 0.4190 0.7500
Ge 0.8750 0.8310 0.7500
Cl 0.0000 0.0000 0.0000
Cl 0.7500 0.2500 0.5000

DOS at the Fermi energy, states/eV per atom: 0.25
Raw formation energy, eV per formula unit: 0.441
E above lowest polymorph, eV/atom: 0.000

=====

4.
GeP2PdCl after structural relaxation. Source: Alexandria, functional GGA-PBE.

a b c (Å): 4.6647 4.6647 4.9783
angles (deg): 90.00 90.00 90.00
Last column: magnetic moment on the atom in μB.
Fractional coordinates of all 5 atoms:
P 0.0000 0.5000 0.0000  0.18
P 0.5000 0.0000 0.0000  0.18
Ge 0.5000 0.5000 0.5000  0.02
Pd 0.0000 0.0000 0.0000  0.11
Cl 0.0000 0.0000 0.5000  0.06

DOS at the Fermi energy, states/eV per atom: 0.97
Raw formation energy, eV per formula unit: 3.010
E above lowest polymorph, eV/atom: 0.000

=====

5.
Pm6Ge3P2Cl after structural relaxation. Source: Alexandria, functional GGA-PBE.

a b c (Å): 4.1746 8.4519 9.4314
angles (deg): 104.13 102.79 90.00
Fractional coordinates of all 12 atoms:
Pm 0.3312 0.9074 0.6624
Pm 0.6690 0.5767 0.3380
Pm 0.6688 0.0926 0.3376
Pm 0.0027 0.2631 0.0054
Pm 0.9973 0.7369 0.9946
Pm 0.3310 0.4233 0.6620
Ge 0.5000 0.5000 0.0000
Ge 0.8359 0.1658 0.6719
Ge 0.1641 0.8342 0.3281
P 0.8343 0.6689 0.6686
P 0.1657 0.3311 0.3314
Cl 0.5000 0.0000 0.0000

DOS at the Fermi energy, states/eV per atom: 0.47
Raw formation energy, eV per formula unit: -14.349

=====

6.
Pr4GePCl2 after structural relaxation. Source: Alexandria, functional GGA-PBE.

a b c (Å): 4.2272 7.4764 7.3239
angles (deg): 70.86 90.00 90.00
Fractional coordinates of all 8 atoms:
Pr 0.0000 0.7227 0.7514
Pr 0.0000 0.2773 0.2486
Pr 0.5000 0.7179 0.2674
Pr 0.5000 0.2821 0.7326
Ge 0.5000 0.5000 0.0000
P 0.0000 0.5000 0.5000
Cl 0.0000 0.0000 0.0000
Cl 0.5000 0.0000 0.5000

DOS at the Fermi energy, states/eV per atom: 0.47
Raw formation energy, eV per formula unit: -11.510